PBE La2Tb9Ho, optimized geometry; Fermi-level density of states = 18.66 states/eV per cell; total moment = 0.0 μB per cell
1.0
11.383 0.000 0.000
-5.691 9.858 0.000
0.000 0.000 3.487
La Tb Ho
2 9 1
direct
0.333 0.667 0.000
0.667 0.333 0.000
0.000 0.500 0.000
0.171 0.341 0.500
0.171 0.829 0.500
0.341 0.171 0.500
0.500 0.000 0.000
0.500 0.500 0.000
0.659 0.829 0.500
0.829 0.171 0.500
0.829 0.659 0.500
0.000 0.000 0.000



PBE LaTb5Ho2, optimized geometry; Fermi-level density of states = 14.09 states/eV per cell; total moment = 0.0 μB per cell
1.0
0.000 5.727 6.295
3.635 0.000 6.295
3.635 5.727 0.000
La Tb Ho
1 5 2
direct
0.000 0.000 0.000
0.000 0.502 0.000
0.084 0.084 0.416
0.502 0.000 0.498
0.503 0.503 0.497
0.584 0.584 0.916
0.087 0.582 0.418
0.582 0.087 0.913



no.,calculated formation energy (eV/atom)
1,0.082
2,0.021